Entry 1:
Entry from Alexandria: a PBEsol-optimized structure of CrHgBr2 (meta-GGA SCAN).

abc: 12.1482 3.5121 6.2803
angles: 90.00 121.05 90.00
Fractional coordinates of all 8 atoms:
Cr 0.0000 0.0000 0.0000
Cr 0.5000 0.5000 0.0000
Hg 0.2347 0.0000 0.4827
Hg 0.7347 0.5000 0.4827
Br 0.0808 0.5000 0.8387
Br 0.4063 0.0000 0.1356
Br 0.5808 0.0000 0.8387
Br 0.9063 0.5000 0.1356

Computed properties:
energy relative to the elements, uncorrected: -694 meV/atom
energy above the lowest structure with this stoichiometry: 0 meV per atom
ρ: 6.0 g/cm³

Entry 2:
Entry from Alexandria: a PBEsol-optimized structure of CrHgBr4 (meta-GGA SCAN).

abc: 6.1129 6.1129 6.1129
angles: 60.00 60.00 60.00
Fractional coordinates of all 6 atoms:
Cr 0.0000 0.0000 0.0000
Hg 0.7500 0.7500 0.7500
Br 0.3747 0.3747 0.3747
Br 0.3747 0.3747 0.8759
Br 0.3747 0.8759 0.3747
Br 0.8759 0.3747 0.3747

Computed properties:
energy relative to the elements, uncorrected: 521 meV/atom
ρ: 5.9 g/cm³

Entry 3:
Entry from Alexandria: a PBEsol-optimized structure of CrHgBr2 (meta-GGA SCAN).

abc: 3.2894 3.2894 9.1462
angles: 90.00 90.00 90.00
Fractional coordinates of all 4 atoms:
Cr 0.0000 0.0000 0.0000
Hg 0.0000 0.0000 0.5000
Br 0.5000 0.5000 0.1746
Br 0.5000 0.5000 0.8254

Computed properties:
energy relative to the elements, uncorrected: -328 meV/atom
energy above the lowest structure with this stoichiometry: 367 meV per atom
ρ: 6.9 g/cm³

Entry 4:
Entry from Alexandria: a PBEsol-optimized structure of CrHgBr2 (meta-GGA SCAN).

abc: 3.4094 3.4094 7.9362
angles: 90.00 90.00 90.00
Fractional coordinates of all 4 atoms:
Cr 0.0000 0.0000 0.0000
Hg 0.5000 0.5000 0.2246
Br 0.0000 0.0000 0.4408
Br 0.5000 0.5000 0.8159

Computed properties:
energy relative to the elements, uncorrected: -206 meV/atom
energy above the lowest structure with this stoichiometry: 489 meV per atom
ρ: 7.4 g/cm³

Entry 5:
Entry from Alexandria: a PBEsol-optimized structure of CrHgBr2 (meta-GGA SCAN).

abc: 3.4930 6.6031 9.0478
angles: 90.00 90.00 90.00
Fractional coordinates of all 8 atoms:
Cr 0.0000 0.0000 0.0000
Cr 0.5000 0.5000 0.5000
Hg 0.0000 0.5000 0.2685
Hg 0.5000 0.0000 0.7685
Br 0.0000 0.0000 0.5265
Br 0.0000 0.5000 0.6894
Br 0.5000 0.0000 0.1894
Br 0.5000 0.5000 0.0265

Computed properties:
energy relative to the elements, uncorrected: -443 meV/atom
energy above the lowest structure with this stoichiometry: 251 meV per atom
ρ: 6.6 g/cm³

Entry 6:
Entry from Alexandria: a PBEsol-optimized structure of MnCrHg2Br (meta-GGA SCAN).

abc: 5.1876 5.1876 4.7541
angles: 90.00 90.00 90.00
Fractional coordinates of all 5 atoms:
Mn 0.0000 0.0000 0.0000
Cr 0.5000 0.5000 0.5000
Hg 0.0000 0.5000 0.0000
Hg 0.5000 0.0000 0.0000
Br 0.0000 0.0000 0.5000

Computed properties:
energy relative to the elements, uncorrected: 330 meV/atom
ρ: 7.6 g/cm³

Entry 7:
Entry from Alexandria: a PBEsol-optimized structure of CrHgSeBr2 (meta-GGA SCAN).

abc: 5.3349 5.3349 5.2538
angles: 90.00 90.00 90.00
Fractional coordinates of all 5 atoms:
Cr 0.0000 0.0000 0.0000
Hg 0.5000 0.5000 0.5000
Se 0.5000 0.5000 0.0000
Br 0.0000 0.5000 0.5000
Br 0.5000 0.0000 0.5000

Computed properties:
energy relative to the elements, uncorrected: 308 meV/atom
ρ: 5.5 g/cm³

Entry 8:
Entry from Alexandria: a PBEsol-optimized structure of ZnCrHgBr2 (meta-GGA SCAN).

abc: 5.6519 5.6519 4.9079
angles: 90.00 90.00 90.00
Fractional coordinates of all 5 atoms:
Zn 0.0000 0.0000 0.0000
Cr 0.5000 0.5000 0.0000
Hg 0.0000 0.0000 0.5000
Br 0.0000 0.5000 0.5000
Br 0.5000 0.0000 0.5000

Computed properties:
energy relative to the elements, uncorrected: 338 meV/atom
ρ: 5.1 g/cm³

Entry 9:
Entry from Alexandria: a PBEsol-optimized structure of Cr3IBr (meta-GGA SCAN).

abc: 5.3984 5.3984 5.3984
angles: 90.00 90.00 90.00
Fractional coordinates of all 5 atoms:
Cr 0.0000 0.0000 0.5000
Cr 0.0000 0.5000 0.0000
Cr 0.5000 0.0000 0.0000
I 0.0000 0.0000 0.0000
Br 0.5000 0.5000 0.5000

Computed properties:
energy relative to the elements, uncorrected: 747 meV/atom
ρ: 3.8 g/cm³

Entry 10:
Entry from Alexandria: a PBEsol-optimized structure of CrI2BrN (meta-GGA SCAN).

abc: 6.0594 6.0594 3.7092
angles: 90.00 90.00 90.00
Fractional coordinates of all 5 atoms:
Cr 0.0000 0.0000 0.0000
I 0.0000 0.5000 0.5000
I 0.5000 0.0000 0.5000
Br 0.5000 0.5000 0.5000
N 0.5000 0.5000 0.0000

Computed properties:
energy relative to the elements, uncorrected: 1280 meV/atom
ρ: 4.9 g/cm³

Entry 11:
Entry from Alexandria: a PBEsol-optimized structure of CrIBrO2 (meta-GGA SCAN).

abc: 3.8413 3.8413 5.6983
angles: 90.00 90.00 90.00
Fractional coordinates of all 5 atoms:
Cr 0.0000 0.0000 0.0000
I 0.0000 0.0000 0.5000
Br 0.5000 0.5000 0.5000
O 0.0000 0.5000 0.0000
O 0.5000 0.0000 0.0000

Computed properties:
energy relative to the elements, uncorrected: -511 meV/atom
ρ: 5.7 g/cm³

Entry 12:
Entry from Alexandria: a PBEsol-optimized structure of CrI2BrO (meta-GGA SCAN).

abc: 5.7468 5.7468 3.9200
angles: 90.00 90.00 90.00
Fractional coordinates of all 5 atoms:
Cr 0.0000 0.0000 0.0000
I 0.0000 0.5000 0.5000
I 0.5000 0.0000 0.5000
Br 0.5000 0.5000 0.5000
O 0.5000 0.5000 0.0000

Computed properties:
energy relative to the elements, uncorrected: 572 meV/atom
ρ: 5.2 g/cm³

Result set for size of the total moment: 4.000 4.940 4.079 3.999 4.000 9.405 4.365 5.136 15.908 4.770 1.971 4.876 μB per formula unit, one per record in the order listed.